(1)
Crystalline USnTe3 at its relaxed geometry, computed with PBE-GGA.

Results
Distance to the lowest polymorph of the same formula, meV per atom: 0

Unit cell a=8.692 b=4.238 c=9.423 alpha=90.00 beta=110.65 gamma=90.00
Sites, in units of the cell vectors:
U (0.019, 0.250, 0.234)
U (0.981, 0.750, 0.766)
Sn (0.433, 0.750, 0.702)
Sn (0.567, 0.250, 0.298)
Te (0.148, 0.250, 0.606)
Te (0.192, 0.250, 0.993)
Te (0.308, 0.750, 0.357)
Te (0.692, 0.250, 0.643)
Te (0.808, 0.750, 0.007)
Te (0.852, 0.750, 0.394)

(2)
Crystalline U2SnTe5 at its relaxed geometry, computed with PBE-GGA.

Unit cell a=8.628 b=13.421 c=4.215 alpha=90.00 beta=90.00 gamma=90.00
Sites, in units of the cell vectors:
U (0.023, 0.176, 0.000)
U (0.477, 0.676, 0.000)
U (0.523, 0.324, 0.000)
U (0.977, 0.824, 0.000)
Sn (0.000, 0.500, 0.500)
Sn (0.500, 0.000, 0.500)
Te (0.000, 0.000, 0.500)
Te (0.173, 0.388, 0.000)
Te (0.186, 0.694, 0.500)
Te (0.314, 0.194, 0.500)
Te (0.327, 0.888, 0.000)
Te (0.500, 0.500, 0.500)
Te (0.673, 0.112, 0.000)
Te (0.686, 0.806, 0.500)
Te (0.814, 0.306, 0.500)
Te (0.827, 0.612, 0.000)

(3)
Crystalline USnTe3 at its relaxed geometry, computed with PBE-GGA.

Results
Distance to the lowest polymorph of the same formula, meV per atom: 49

Unit cell a=9.631 b=9.631 c=8.246 alpha=98.64 beta=98.64 gamma=26.38
Sites, in units of the cell vectors:
U (0.211, 0.211, 0.243)
U (0.789, 0.789, 0.757)
Sn (0.457, 0.457, 0.317)
Sn (0.543, 0.543, 0.683)
Te (0.045, 0.045, 0.209)
Te (0.182, 0.182, 0.604)
Te (0.337, 0.337, 0.016)
Te (0.663, 0.663, 0.984)
Te (0.818, 0.818, 0.396)
Te (0.955, 0.955, 0.791)

(4)
Crystalline USn2Te4 at its relaxed geometry, computed with PBE-GGA.

Unit cell a=7.846 b=7.846 c=14.731 alpha=90.00 beta=90.00 gamma=148.62
Sites, in units of the cell vectors:
U (0.116, 0.884, 0.750)
U (0.884, 0.116, 0.250)
Sn (0.368, 0.632, 0.566)
Sn (0.368, 0.632, 0.934)
Sn (0.632, 0.368, 0.066)
Sn (0.632, 0.368, 0.434)
Te (0.000, 0.000, 0.000)
Te (0.000, 0.000, 0.500)
Te (0.285, 0.715, 0.127)
Te (0.285, 0.715, 0.373)
Te (0.471, 0.529, 0.750)
Te (0.529, 0.471, 0.250)
Te (0.715, 0.285, 0.627)
Te (0.715, 0.285, 0.873)

(5)
Crystalline U2SnTe at its relaxed geometry, computed with PBE-GGA.

Unit cell a=5.448 b=5.448 c=3.513 alpha=90.00 beta=90.00 gamma=90.00
Sites, in units of the cell vectors:
U (0.000, 0.500, 0.000)
U (0.500, 0.000, 0.000)
Sn (0.000, 0.000, 0.500)
Te (0.500, 0.500, 0.500)

(6)
Crystalline USn2Te6 at its relaxed geometry, computed with PBE-GGA.

Unit cell a=8.769 b=8.769 c=8.769 alpha=47.85 beta=47.85 gamma=47.85
Sites, in units of the cell vectors:
U (0.000, 0.000, 0.000)
Sn (0.273, 0.273, 0.273)
Sn (0.394, 0.394, 0.394)
Te (0.051, 0.410, 0.816)
Te (0.225, 0.867, 0.631)
Te (0.410, 0.816, 0.051)
Te (0.631, 0.225, 0.867)
Te (0.816, 0.051, 0.410)
Te (0.867, 0.631, 0.225)

E_form (uncorrected)
In order: -2.28; -3.85; -2.03; -2.45; -0.60; -1.18
Unit: eV/f.u.